(1)
! Mg2CoSnBr (PBE, relaxed); values from VASP
! Size of the total moment in μB per cell: 2.03
! Calculated volume in Å³ per atom: 33.6
! E_form (uncorrected) in kJ/mol of formula units: 362
! Total energy in eV/atom: -2.44
&SYSTEM
  ibrav = 0, nat = 5, ntyp = 4
/
ATOMIC_SPECIES
Mg 24.30 Mg.upf
Co 58.93 Co.upf
Sn 118.71 Sn.upf
Br 79.90 Br.upf
CELL_PARAMETERS angstrom
5.4636 0.0000 0.0000
0.0000 5.6297 0.0000
0.0000 0.0000 5.4636
ATOMIC_POSITIONS crystal
Mg 0.0000 0.0000 0.5000
Mg 0.5000 0.0000 0.0000
Co 0.5000 0.5000 0.5000
Sn 0.0000 0.0000 0.0000
Br 0.0000 0.5000 0.0000

=====

(2)
! MgTlCo2Br8 (PBE, relaxed); values from VASP
! Size of the total moment in μB per cell: 7.00
! Calculated volume in Å³ per atom: 31.1
! E_form (uncorrected) in kJ/mol of formula units: -732
! Total energy in eV/atom: -3.26
&SYSTEM
  ibrav = 0, nat = 12, ntyp = 4
/
ATOMIC_SPECIES
Mg 24.30 Mg.upf
Tl 204.38 Tl.upf
Co 58.93 Co.upf
Br 79.90 Br.upf
CELL_PARAMETERS angstrom
6.6656 0.0000 0.0000
3.3328 5.7726 0.0000
3.3328 1.9242 9.7005
ATOMIC_POSITIONS crystal
Mg 0.0000 0.0000 0.0000
Tl 0.5000 0.5000 0.5000
Co 0.2543 0.2543 0.2370
Co 0.7457 0.7457 0.7630
Br 0.1744 0.1744 0.4767
Br 0.6202 0.2754 0.1655
Br 0.8256 0.8256 0.5233
Br 0.9389 0.6202 0.1655
Br 0.0611 0.3798 0.8345
Br 0.2754 0.9389 0.1655
Br 0.7246 0.0611 0.8345
Br 0.3798 0.7246 0.8345

=====

(3)
! MnCoBr5 (PBE, relaxed); values from VASP
! Size of the total moment in μB per cell: 29.56
! Calculated volume in Å³ per atom: 36.4
! E_form (uncorrected) in kJ/mol of formula units: -244
! Total energy in eV/atom: -3.88
&SYSTEM
  ibrav = 0, nat = 28, ntyp = 3
/
ATOMIC_SPECIES
Mn 54.94 Mn.upf
Co 58.93 Co.upf
Br 79.90 Br.upf
CELL_PARAMETERS angstrom
-7.5027 -0.5866 -1.1738
-0.5842 -5.8379 6.6515
-2.4034 11.3064 9.7122
ATOMIC_POSITIONS crystal
Mn 0.7500 0.3349 0.9433
Mn 0.2500 0.6651 0.0567
Mn 0.7500 0.1651 0.4433
Mn 0.2500 0.8349 0.5567
Co 0.7500 0.9669 0.1502
Co 0.2500 0.0331 0.8498
Co 0.7500 0.5331 0.6502
Co 0.2500 0.4669 0.3498
Br 0.7500 0.2813 0.6015
Br 0.2500 0.7187 0.3985
Br 0.7500 0.2187 0.1015
Br 0.2500 0.7813 0.8985
Br 0.7500 0.9795 0.3080
Br 0.2500 0.0205 0.6920
Br 0.7500 0.5205 0.8080
Br 0.2500 0.4795 0.1920
Br 0.5292 0.3592 0.3733
Br 0.0292 0.6408 0.6267
Br 0.4708 0.6408 0.6267
Br 0.9708 0.3592 0.3733
Br 0.4708 0.8592 0.1267
Br 0.9708 0.1408 0.8733
Br 0.5292 0.1408 0.8733
Br 0.0292 0.8592 0.1267
Br 0.5000 0.0000 0.5000
Br 0.0000 0.0000 0.5000
Br 0.5000 0.5000 0.0000
Br 0.0000 0.5000 0.0000

=====

(4)
! MnCo3Br (PBE, relaxed); values from VASP
! Size of the total moment in μB per cell: 3.47
! Calculated volume in Å³ per atom: 16.1
! E_form (uncorrected) in kJ/mol of formula units: 653
! Total energy in eV/atom: -5.08
! ΔE to the lowest computed polymorph in meV per atom: 221.7
&SYSTEM
  ibrav = 0, nat = 5, ntyp = 3
/
ATOMIC_SPECIES
Mn 54.94 Mn.upf
Co 58.93 Co.upf
Br 79.90 Br.upf
CELL_PARAMETERS angstrom
4.3143 0.0000 0.0000
0.0000 4.3143 0.0000
0.0000 0.0000 4.3143
ATOMIC_POSITIONS crystal
Mn 0.0000 0.0000 0.0000
Co 0.0000 0.5000 0.0000
Co 0.0000 0.0000 0.5000
Co 0.5000 0.0000 0.0000
Br 0.5000 0.5000 0.5000

=====

Which formula does entry 3 have? MnCoBr5